A plane-wave DFT calculation with PBE was carried out for a relaxed CeDy4Rh5 crystal.

```
10
Lattice="-2.774 1.389 1.442 1.167 -0.880 3.093 8.262 15.238 1.217" Properties=species:S:1:pos:R:3 pbc="T T T"
Ce 0.000 0.000 0.000
Dy 1.668 3.076 0.246
Dy 3.310 6.105 0.488
Dy 4.952 9.133 0.730
Dy 6.594 12.162 0.972
Rh 0.021 1.774 2.389
Rh 1.682 4.837 2.634
Rh 3.328 7.873 2.876
Rh 4.974 10.909 3.119
Rh 6.635 13.972 3.364
```

* M_tot: 0.00 Bohr magnetons per cell
* symmetry: P4/mmm
* D(E_F): 7.895 states/eV per cell
* energy: -6.94 eV/atom
* ΔE_f: -0.83 eV/atom

---

A plane-wave DFT calculation with PBE was carried out for a relaxed CeDy2Rh9 crystal.

```
12
Lattice="5.042 0.000 1.501 2.298 4.488 1.501 -0.024 -0.015 9.303" Properties=species:S:1:pos:R:3 pbc="T T T"
Ce 0.000 0.000 0.000
Dy 6.307 3.856 6.473
Dy 1.009 0.617 5.832
Rh 4.870 2.978 11.299
Rh 2.445 1.495 1.005
Rh 3.658 2.237 6.152
Rh 3.050 1.865 3.572
Rh 5.577 1.865 4.324
Rh 4.202 4.114 4.324
Rh 4.265 2.608 8.732
Rh 3.114 0.359 7.980
Rh 1.738 2.608 7.980
```

* M_tot: 0.00 Bohr magnetons per cell
* symmetry: R-3m
* D(E_F): 11.422 states/eV per cell
* energy: -7.36 eV/atom
* ΔE_f: -0.58 eV/atom

---

A plane-wave DFT calculation with PBE was carried out for a relaxed Ce2Dy2Rh3 crystal.

```
7
Lattice="4.675 -0.004 0.001 -2.333 5.395 -0.296 -0.003 -1.073 7.043" Properties=species:S:1:pos:R:3 pbc="T T T"
Ce 2.340 3.333 4.279
Ce -0.001 0.985 2.469
Dy 2.335 0.487 6.387
Dy 0.004 3.831 0.360
Rh 0.000 0.000 0.000
Rh 2.340 3.043 1.841
Rh -0.001 1.275 4.907
```

* M_tot: 0.96 Bohr magnetons per cell
* symmetry: C2/m
* polymorph energy (0 for the lowest one): 84.5 meV per atom
* D(E_F): 10.243 states/eV per cell
* energy: -6.80 eV/atom
* ΔE_f: -0.64 eV/atom

---

A plane-wave DFT calculation with PBE was carried out for a relaxed Ce3DyRh2 crystal.

```
12
Lattice="4.538 0.000 0.000 -2.269 8.028 -0.230 0.000 -3.708 7.595" Properties=species:S:1:pos:R:3 pbc="T T T"
Ce 0.000 2.320 4.632
Ce 2.269 4.836 4.158
Ce 2.269 -0.585 5.242
Ce 0.000 4.906 2.124
Ce 0.000 -0.515 3.207
Ce 2.269 2.001 2.734
Dy 2.269 2.633 7.187
Dy 0.000 1.688 0.178
Rh 0.000 4.683 5.973
Rh 2.269 -0.362 1.392
Rh 2.269 3.701 0.736
Rh 0.000 0.620 6.629
```

* M_tot: 0.00 Bohr magnetons per cell
* symmetry: C2/m
* D(E_F): 20.374 states/eV per cell
* energy: -6.69 eV/atom
* ΔE_f: -0.51 eV/atom

---

A plane-wave DFT calculation with PBE was carried out for a relaxed Ce2DyRh3 crystal.

```
12
Lattice="-3.108 4.432 -1.812 -5.886 -4.885 -1.849 0.743 -0.338 6.890" Properties=species:S:1:pos:R:3 pbc="T T T"
Ce -5.301 0.067 -0.016
Ce -2.261 2.371 0.965
Ce -5.991 -3.162 2.264
Ce -2.951 -0.858 3.245
Dy -7.375 0.557 -3.113
Dy -1.620 -1.010 -0.549
Rh -3.178 1.212 -1.457
Rh -5.817 -1.665 -2.204
Rh -0.744 0.138 1.918
Rh -4.460 1.363 2.297
Rh -3.793 -2.154 0.932
Rh -7.509 -0.929 1.311
```

* M_tot: 0.00 Bohr magnetons per cell
* symmetry: C2/c
* D(E_F): 11.681 states/eV per cell
* energy: -7.11 eV/atom
* ΔE_f: -0.69 eV/atom

---

A plane-wave DFT calculation with PBE was carried out for a relaxed CeDy2Rh4 crystal.

```
7
Lattice="-1.603 4.130 -1.687 -2.157 0.160 -4.218 -7.984 0.205 1.427" Properties=species:S:1:pos:R:3 pbc="T T T"
Ce 0.000 0.000 0.000
Dy -8.527 3.422 -3.500
Dy -3.216 1.073 -0.978
Rh -6.070 3.870 -4.739
Rh -5.673 0.626 0.262
Rh -3.313 2.713 -3.530
Rh -8.430 1.782 -0.948
```

* M_tot: 0.00 Bohr magnetons per cell
* symmetry: R-3m
* D(E_F): 3.165 states/eV per cell
* energy: -6.92 eV/atom
* ΔE_f: -0.56 eV/atom